# 1
{"formula": "Tb3TmTh4Se8", "functional": "PBE-GGA", "state": "optimized geometry", "formation_energy_uncorrected_ev_per_atom": -1.643, "m_tot_mub_per_cell": 0.0, "sg": "R-3m", "lattice_angstrom": [[4.041, 2.333, 7.091], [-4.041, 2.333, 7.091], [0.000, -4.666, 7.091]], "species": ["Tb", "Tb", "Tb", "Tm", "Th", "Th", "Th", "Th", "Se", "Se", "Se", "Se", "Se", "Se", "Se", "Se"], "fractional_positions": [[0.000, 0.500, 0.500], [0.500, 0.000, 0.500], [0.500, 0.500, 0.000], [0.000, 0.000, 0.000], [0.000, 0.000, 0.500], [0.000, 0.500, 0.000], [0.500, 0.000, 0.000], [0.500, 0.500, 0.500], [0.243, 0.243, 0.748], [0.243, 0.748, 0.243], [0.252, 0.757, 0.757], [0.255, 0.255, 0.255], [0.745, 0.745, 0.745], [0.748, 0.243, 0.243], [0.757, 0.252, 0.757], [0.757, 0.757, 0.252]]}

=====

# 2
{"formula": "Hf2ZrBe2", "functional": "PBE-GGA", "state": "optimized geometry", "m_tot_mub_per_cell": 0.0, "delta_e_f_ev_per_atom": -0.026, "relative_energy_mev_per_atom": 0, "sg": "P4/mbm", "lattice_angstrom": [[7.288, 0.000, 0.000], [0.000, 7.288, 0.000], [0.000, 0.000, 3.217]], "species": ["Hf", "Hf", "Hf", "Hf", "Zr", "Zr", "Be", "Be", "Be", "Be"], "fractional_positions": [[0.179, 0.321, 0.000], [0.321, 0.821, 0.000], [0.679, 0.179, 0.000], [0.821, 0.679, 0.000], [0.000, 0.000, 0.500], [0.500, 0.500, 0.500], [0.110, 0.610, 0.500], [0.390, 0.110, 0.500], [0.610, 0.890, 0.500], [0.890, 0.390, 0.500]]}

=====

# 3
{"formula": "Ti5Fe2CoPd2", "functional": "PBE-GGA", "state": "optimized geometry", "m_tot_mub_per_cell": 0.0, "delta_e_f_ev_per_atom": -0.247, "sg": "P4/mbm", "lattice_angstrom": [[10.068, 0.000, 0.000], [0.000, 10.068, 0.000], [0.000, 0.000, 2.906]], "species": ["Ti", "Ti", "Ti", "Ti", "Ti", "Ti", "Ti", "Ti", "Ti", "Ti", "Fe", "Fe", "Fe", "Fe", "Co", "Co", "Pd", "Pd", "Pd", "Pd"], "fractional_positions": [[0.000, 0.500, 0.000], [0.078, 0.193, 0.000], [0.193, 0.922, 0.000], [0.307, 0.422, 0.000], [0.422, 0.693, 0.000], [0.500, 0.000, 0.000], [0.578, 0.307, 0.000], [0.693, 0.578, 0.000], [0.807, 0.078, 0.000], [0.922, 0.807, 0.000], [0.131, 0.369, 0.500], [0.369, 0.869, 0.500], [0.631, 0.131, 0.500], [0.869, 0.631, 0.500], [0.000, 0.000, 0.500], [0.500, 0.500, 0.500], [0.168, 0.668, 0.500], [0.332, 0.168, 0.500], [0.668, 0.832, 0.500], [0.832, 0.332, 0.500]]}

=====

# 4
{"formula": "ErRuN2", "functional": "PBE-GGA", "state": "optimized geometry", "formation_energy_uncorrected_ev_per_atom": -0.642, "m_tot_mub_per_cell": 0.0, "sg": "R-3m", "lattice_angstrom": [[1.667, 0.962, 4.773], [-1.667, 0.962, 4.773], [0.000, -1.924, 4.773]], "species": ["Er", "Ru", "N", "N"], "fractional_positions": [[0.000, 0.000, 0.000], [0.500, 0.500, 0.500], [0.238, 0.238, 0.238], [0.762, 0.762, 0.762]]}

=====

# 5
{"formula": "Li2MgNi", "functional": "PBE-GGA", "state": "optimized geometry", "m_tot_mub_per_cell": 0.0, "delta_e_f_ev_per_atom": 0.014, "sg": "I4/mmm", "lattice_angstrom": [[-1.894, 1.894, 4.211], [1.894, -1.894, 4.211], [1.894, 1.894, -4.211]], "species": ["Li", "Li", "Mg", "Ni"], "fractional_positions": [[0.250, 0.750, 0.500], [0.750, 0.250, 0.500], [0.000, 0.000, 0.000], [0.500, 0.500, 0.000]]}

=====

# 6
{"formula": "La2BiP3Pd4", "functional": "PBE-GGA", "state": "optimized geometry", "m_tot_mub_per_cell": 0.0, "delta_e_f_ev_per_atom": -0.853, "sg": "P-4m2", "lattice_angstrom": [[4.256, 0.000, 0.000], [0.000, 4.256, 0.000], [0.000, 0.000, 10.965]], "species": ["La", "La", "Bi", "P", "P", "P", "Pd", "Pd", "Pd", "Pd"], "fractional_positions": [[0.000, 0.500, 0.223], [0.500, 0.000, 0.777], [0.000, 0.000, 0.500], [0.000, 0.500, 0.876], [0.500, 0.000, 0.124], [0.500, 0.500, 0.500], [0.000, 0.000, 0.000], [0.000, 0.500, 0.660], [0.500, 0.000, 0.340], [0.500, 0.500, 0.000]]}

=====

# 7
{"formula": "BeFe", "functional": "PBE-GGA", "state": "optimized geometry", "m_tot_mub_per_cell": 1.6, "delta_e_f_ev_per_atom": 0.023, "sg": "P-3m1", "lattice_angstrom": [[2.427, 0.000, 0.000], [-1.213, 2.101, 0.000], [0.000, 0.000, 7.428]], "species": ["Be", "Be", "Fe", "Fe"], "fractional_positions": [[0.333, 0.667, 0.122], [0.667, 0.333, 0.878], [0.333, 0.667, 0.629], [0.667, 0.333, 0.371]]}

=====

# 8
{"formula": "Na3In3Hg2Pb", "functional": "PBE-GGA", "state": "optimized geometry", "m_tot_mub_per_cell": 0.0, "delta_e_f_ev_per_atom": -0.151, "sg": "P-62m", "lattice_angstrom": [[8.771, 0.000, 0.000], [-4.386, 7.596, 0.000], [0.000, 0.000, 3.591]], "species": ["Na", "Na", "Na", "In", "In", "In", "Hg", "Hg", "Pb"], "fractional_positions": [[0.000, 0.374, 0.000], [0.374, 0.000, 0.000], [0.626, 0.626, 0.000], [0.000, 0.691, 0.500], [0.309, 0.309, 0.500], [0.691, 0.000, 0.500], [0.333, 0.667, 0.500], [0.667, 0.333, 0.500], [0.000, 0.000, 0.000]]}